[1]
Pu2AsSe | GGA-PBE | optimized geometry

Lattice parameters (Å, degrees): 3.555 3.555 7.125 90.00 90.00 90.00
Each line ends with the local moment (μB).
Fractional positions:
Se (0.500, 0.500, 0.500)  -0.14
Pu (0.000, 0.000, 0.240)  5.39
Pu (0.000, 0.000, 0.760)  5.39
As (0.500, 0.500, 0.000)  -0.20

Summary:
Energy relative to the elements, uncorrected (kcal/mol of atoms): -25.4
SG: P4/mmm, No. 123
Energy (eV per atom): -10.302
ρ (g/cm3): 11.8
Crystal system: tetragonal

[2]
NaYGa2Br6 | GGA-PBE | optimized geometry

Lattice parameters (Å, degrees): 7.402 8.123 10.870 90.00 87.56 90.00
Fractional positions:
Ga (0.980, 0.090, 0.713)
Ga (0.020, 0.910, 0.287)
Ga (0.480, 0.410, 0.213)
Ga (0.520, 0.590, 0.787)
Br (0.317, 0.678, 0.045)
Br (0.135, 0.445, 0.757)
Br (0.635, 0.055, 0.257)
Br (0.175, 0.213, 0.078)
Br (0.183, 0.178, 0.455)
Br (0.817, 0.822, 0.545)
Br (0.365, 0.945, 0.743)
Br (0.825, 0.787, 0.922)
Br (0.675, 0.287, 0.578)
Br (0.865, 0.555, 0.243)
Br (0.683, 0.322, 0.955)
Br (0.325, 0.713, 0.422)
Na (0.500, 0.000, 0.000)
Na (0.000, 0.500, 0.500)
Y (0.500, 0.000, 0.500)
Y (0.000, 0.500, 0.000)

Summary:
Energy relative to the elements, uncorrected (kcal/mol of atoms): -29.4
SG: P2_1/c, No. 14
Energy (eV per atom): -3.664
ρ (g/cm3): 3.7
Crystal system: monoclinic